Record 1
The following is a DFT calculation (GGA-PBE) of a relaxed structure of PWS2N.

a = 4.7904 Å, b = 4.7904 Å, c = 3.7924 Å
α = 90.00°, β = 90.00°, γ = 90.00°
Fractional coordinates of all 5 atoms:
P  0.0000  0.0000  0.0000
W  0.5000  0.5000  0.5000
S  0.0000  0.5000  0.5000
S  0.5000  0.0000  0.5000
N  0.5000  0.5000  0.0000

Properties
Fermi-level density of states in states/eV/f.u.: 2.93
Total magnetization in μB per formula unit: 0.00
Energy relative to the lowest polymorph listed for this composition in meV/atom: 0.0
VASP energy in eV/atom: -6.414

---

Record 2
The following is a DFT calculation (GGA-PBE) of a relaxed structure of SmPu3Hg12.

a = 4.6633 Å, b = 4.6796 Å, c = 18.9549 Å
α = 90.00°, β = 90.00°, γ = 90.00°
Fractional coordinates of all 16 atoms:
Sm  0.0000  0.0000  0.0000
Pu  0.0000  0.0000  0.2497
Pu  0.0000  0.0000  0.5000
Pu  0.0000  0.0000  0.7503
Hg  0.0000  0.5000  0.1235
Hg  0.0000  0.5000  0.3745
Hg  0.0000  0.5000  0.6255
Hg  0.0000  0.5000  0.8765
Hg  0.5000  0.0000  0.1234
Hg  0.5000  0.0000  0.3745
Hg  0.5000  0.0000  0.6255
Hg  0.5000  0.0000  0.8766
Hg  0.5000  0.5000  0.0000
Hg  0.5000  0.5000  0.2469
Hg  0.5000  0.5000  0.5000
Hg  0.5000  0.5000  0.7531

Properties
Fermi-level density of states in states/eV/f.u.: 50.37
Formation energy from the elements in eV per atom: -0.142
Total magnetization in μB per formula unit: 6.90
VASP energy in eV/atom: -3.351